# 1
## Tm2MgNi2 (PBE)

Data for Tm2MgNi2 after structural relaxation.

a b c (Å): 7.3744 7.3744 3.5828
angles (deg): 90.00 90.00 148.67
Last column: nearest neighbours and their distance in Å.
Fractional positions:
Tm  0.1445  0.8555  0.0000  6 Ni 2.78-2.87
Tm  0.8555  0.1445  0.0000  6 Ni 2.78-2.87
Mg  0.5000  0.5000  0.5000  2 Ni 2.80
Ni  0.3026  0.6974  0.5000  2 Ni 2.49, 4 Tm 2.78
Ni  0.6974  0.3026  0.5000  2 Ni 2.49, 4 Tm 2.78

Output
Energy relative to the elements: -2.1 eV/f.u.


# 2
## ScVCd2 (PBE)

Data for ScVCd2 after structural relaxation.

a b c (Å): 6.2144 6.2144 6.2144
angles (deg): 102.59 102.59 124.34
Last column: nearest neighbours and their distance in Å.
Fractional positions:
Sc  0.0000  0.0000  0.0000  2 V 2.90, 4 Cd 2.95
Sc  0.7500  0.2500  0.5000  2 V 2.90, 4 Cd 2.95
V  0.2500  0.7500  0.5000  4 Cd 2.74, 2 Sc 2.90
V  0.5000  0.5000  0.0000  4 Cd 2.74, 2 Sc 2.90
Cd  0.1455  0.6250  0.0205  2 V 2.74, 2 Cd 2.92, 2 Sc 2.95
Cd  0.3750  0.3955  0.5205  2 V 2.74, 2 Cd 2.92, 2 Sc 2.95
Cd  0.6045  0.1250  0.9795  2 V 2.74, 2 Cd 2.92, 2 Sc 2.95
Cd  0.8750  0.8545  0.4795  2 V 2.74, 2 Cd 2.92, 2 Sc 2.95

Output
Energy relative to the elements: 1.8 eV/f.u.


# 3
## BaNa4Hg4 (PBE)

Data for BaNa4Hg4 after structural relaxation.

a b c (Å): 7.6477 7.6477 9.8385
angles (deg): 90.00 90.00 90.00
Last column: nearest neighbours and their distance in Å.
Fractional positions:
Ba  0.2500  0.7500  0.2500  4 Hg 3.80
Ba  0.7500  0.2500  0.7500  4 Hg 3.80
Na  0.0013  0.2500  0.1357  5 Hg 3.06-3.11
Na  0.2500  0.0013  0.6357  5 Hg 3.06-3.11
Na  0.2500  0.4987  0.6357  5 Hg 3.06-3.11
Na  0.4987  0.2500  0.1357  5 Hg 3.06-3.11
Na  0.5013  0.7500  0.8643  5 Hg 3.06-3.11
Na  0.7500  0.5013  0.3643  5 Hg 3.06-3.11
Na  0.7500  0.9987  0.3643  5 Hg 3.06-3.11
Na  0.9987  0.7500  0.8643  5 Hg 3.06-3.11
Hg  0.0524  0.2500  0.4441  1 Hg 3.02, 5 Na 3.06-3.11
Hg  0.2500  0.0524  0.9441  1 Hg 3.02, 5 Na 3.06-3.11
Hg  0.2500  0.4476  0.9441  1 Hg 3.02, 5 Na 3.06-3.11
Hg  0.4476  0.2500  0.4441  1 Hg 3.02, 5 Na 3.06-3.11
Hg  0.5524  0.7500  0.5559  1 Hg 3.02, 5 Na 3.06-3.11
Hg  0.7500  0.5524  0.0559  1 Hg 3.02, 5 Na 3.06-3.11
Hg  0.7500  0.9476  0.0559  1 Hg 3.02, 5 Na 3.06-3.11
Hg  0.9476  0.7500  0.5559  1 Hg 3.02, 5 Na 3.06-3.11

Output
Energy relative to the elements: -1.9 eV/f.u.


# 4
## Nd8Zn2Co (PBE)

Data for Nd8Zn2Co after structural relaxation.

a b c (Å): 8.9589 8.9589 6.2923
angles (deg): 104.04 104.04 128.71
Last column: nearest neighbours and their distance in Å.
Fractional positions:
Nd  0.0000  0.0000  0.0000  1 Co 2.63
Nd  0.1162  0.8851  0.5036  1 Co 2.77, 1 Zn 3.05
Nd  0.3503  0.5768  0.1556  1 Co 2.84, 1 Zn 3.10
Nd  0.4603  0.4603  0.6358  1 Co 2.64
Nd  0.5272  0.9226  0.8396  4 Zn 3.34-3.52, 5 Nd 3.53-3.71, 1 Co 3.68
Nd  0.5768  0.3503  0.1556  1 Co 2.84, 1 Zn 3.10
Nd  0.8851  0.1162  0.5036  1 Co 2.77, 1 Zn 3.05
Nd  0.9226  0.5272  0.8396  4 Zn 3.34-3.52, 5 Nd 3.53-3.71, 1 Co 3.68
Zn  0.0087  0.4455  0.3256  7 Nd 3.05-3.39
Zn  0.4455  0.0087  0.3256  7 Nd 3.05-3.39
Co  0.7360  0.7360  0.1380  6 Nd 2.63-2.84

Output
Energy relative to the elements: -0.7 eV/f.u.


# 5
## TiAl2Rh3 (PBE)

Data for TiAl2Rh3 after structural relaxation.

a b c (Å): 2.9481 2.9481 9.6860
angles (deg): 90.00 90.00 90.00
Last column: nearest neighbours and their distance in Å.
Fractional positions:
Ti  0.0000  0.0000  0.0000  8 Rh 2.70, 4 Ti 2.95
Al  0.0000  0.0000  0.3383  8 Rh 2.60-2.61
Al  0.0000  0.0000  0.6617  8 Rh 2.60-2.61
Rh  0.5000  0.5000  0.1775  4 Al 2.60, 4 Ti 2.70
Rh  0.5000  0.5000  0.5000  8 Al 2.61
Rh  0.5000  0.5000  0.8225  4 Al 2.60, 4 Ti 2.70

Output
Energy relative to the elements: -6.0 eV/f.u.


# 6
## PdRh2AuN (PBE)

Data for PdRh2AuN after structural relaxation.

a b c (Å): 4.0309 4.0309 4.3556
angles (deg): 90.00 90.00 90.00
Last column: nearest neighbours and their distance in Å.
Fractional positions:
Pd  0.0000  0.0000  0.0000  2 N 2.18
Rh  0.0000  0.5000  0.5000  2 N 2.02
Rh  0.5000  0.0000  0.5000  2 N 2.02
Au  0.5000  0.5000  0.0000  4 Pd 2.85, 8 Rh 2.97
N  0.0000  0.0000  0.5000  4 Rh 2.02, 2 Pd 2.18

Output
Formation energy from raw total energies: 215 meV/atom


# 7
## Li7Pm3Si4 (PBE)

Data for Li7Pm3Si4 after structural relaxation.

a b c (Å): 8.4750 8.4750 8.2785
angles (deg): 118.68 118.68 30.82
Last column: nearest neighbours and their distance in Å.
Fractional positions:
Li  0.0000  0.0000  0.0000  2 Si 2.47, 6 Li 2.57-2.75
Li  0.1444  0.1444  0.9541  1 Li 2.57, 2 Si 2.63
Li  0.3319  0.3319  0.4892  1 Li 2.52, 4 Si 2.54-2.82
Li  0.4841  0.4841  0.7964  3 Li 2.52-2.75, 3 Si 2.57-2.80
Li  0.5159  0.5159  0.2036  3 Li 2.52-2.75, 3 Si 2.57-2.80
Li  0.6681  0.6681  0.5108  1 Li 2.52, 4 Si 2.54-2.82
Li  0.8556  0.8556  0.0459  1 Li 2.57, 2 Si 2.63
Pm  0.0000  0.0000  0.5000  6 Si 3.18-3.23, 10 Li 3.30-3.52
Pm  0.2685  0.2685  0.7749  6 Li 2.99-3.05, 6 Si 3.09-3.26
Pm  0.7315  0.7315  0.2251  6 Li 2.99-3.05, 6 Si 3.09-3.26
Si  0.1338  0.1338  0.3228  3 Li 2.47-2.63
Si  0.3622  0.3622  0.2160  4 Li 2.54-2.63
Si  0.6378  0.6378  0.7840  4 Li 2.54-2.63
Si  0.8662  0.8662  0.6772  3 Li 2.47-2.63

Output
Formation energy from raw total energies: -409 meV/atom


# 8
## SrNdPt2 (PBE)

Data for SrNdPt2 after structural relaxation.

a b c (Å): 7.7859 7.7859 7.7859
angles (deg): 31.04 31.04 31.04
Last column: nearest neighbours and their distance in Å.
Fractional positions:
Sr  0.0000  0.0000  0.0000  6 Pt 3.07-3.17
Nd  0.1713  0.1713  0.1713  6 Pt 2.94-2.97
Pt  0.5806  0.5806  0.5806  3 Nd 2.94, 3 Sr 3.07
Pt  0.7596  0.7596  0.7596  3 Nd 2.97, 3 Sr 3.17

Output
Energy relative to the elements: -3.3 eV/f.u.


# 9
## NaPuRu (PBE)

Data for NaPuRu after structural relaxation.

a b c (Å): 3.1420 3.1420 14.3882
angles (deg): 99.35 99.35 58.93
Last column: nearest neighbours and their distance in Å.
Fractional positions:
Na  0.0996  0.0996  0.3852  3 Ru 3.09-3.14, 6 Na 3.09-3.14
Na  0.9004  0.9004  0.6148  3 Ru 3.09-3.14, 6 Na 3.09-3.14
Pu  0.2175  0.2175  0.9336  2 Pu 2.43, 2 Ru 2.51
Pu  0.7825  0.7825  0.0664  2 Pu 2.43, 2 Ru 2.51
Ru  0.3524  0.3524  0.2061  2 Pu 2.51
Ru  0.6476  0.6476  0.7939  2 Pu 2.51

Output
Energy relative to the elements: 0.8 eV/f.u.


# 10
## Rb3CuSb (PBE)

Data for Rb3CuSb after structural relaxation.

a b c (Å): 6.3090 6.3090 6.3090
angles (deg): 90.00 90.00 90.00
Last column: nearest neighbours and their distance in Å.
Fractional positions:
Rb  0.0000  0.0000  0.5000  2 Cu 3.15
Rb  0.0000  0.5000  0.0000  2 Cu 3.15
Rb  0.5000  0.0000  0.0000  2 Cu 3.15
Cu  0.0000  0.0000  0.0000  6 Rb 3.15
Sb  0.5000  0.5000  0.5000  12 Rb 4.46

Output
Formation energy from raw total energies: 212 meV/atom